[1]
Crystalline SrAg2Te at its relaxed geometry, computed with GGA-PBE.

The structure in extended XYZ format:
```
4
Lattice="4.110 0.000 0.000 0.000 4.110 0.000 0.000 0.000 6.844" Properties=species:S:1:pos:R:3 pbc="T T T"
Sr 0.000 0.000 0.000
Ag 0.000 0.000 3.685
Ag 2.055 2.055 4.265
Te 2.055 2.055 1.385
```

Output
Its energy above the most stable polymorph in this dataset is 129 meV per atom.

---

[2]
Crystalline VIrRh6 at its relaxed geometry, computed with GGA-PBE.

The structure in extended XYZ format:
```
8
Lattice="2.707 -4.874 0.000 2.707 4.874 0.000 -2.548 0.000 4.655" Properties=species:S:1:pos:R:3 pbc="T T T"
V 0.000 0.000 0.000
Ir -1.274 0.000 2.328
Rh 0.769 2.664 3.493
Rh 2.097 2.664 1.163
Rh 1.911 0.000 1.101
Rh 0.955 0.000 3.554
Rh 0.769 -2.664 3.493
Rh 2.097 -2.664 1.163
```

Output
The formation energy is 2.42 eV per formula unit. Its energy above the most stable polymorph in this dataset is 462 meV per atom.

---

[3]
Crystalline CoCu2Sb at its relaxed geometry, computed with GGA-PBE.

The structure in extended XYZ format:
```
4
Lattice="-1.826 1.826 4.159 1.826 -1.826 4.159 1.826 1.826 -4.159" Properties=species:S:1:pos:R:3 pbc="T T T"
Co 0.000 0.000 0.000
Cu 1.826 0.000 2.079
Cu 0.000 1.826 2.079
Sb 0.000 0.000 4.159
```

Output
As for the total energy: -4.724 eV per atom.

---

[4]
Crystalline Pr3Zn3Ir at its relaxed geometry, computed with GGA-PBE.

The structure in extended XYZ format:
```
14
Lattice="5.613 -2.015 0.000 5.613 2.015 0.000 -4.296 0.000 15.040" Properties=species:S:1:pos:R:3 pbc="T T T"
Pr -1.432 0.000 5.823
Pr -2.568 0.000 13.877
Pr 1.603 0.000 3.600
Pr 5.327 0.000 11.440
Pr 9.499 0.000 1.163
Pr 8.362 0.000 9.217
Zn 1.691 0.000 6.995
Zn 0.586 0.000 13.900
Zn 2.099 0.000 11.610
Zn 4.832 0.000 3.430
Zn 6.344 0.000 1.141
Zn 5.239 0.000 8.045
Ir 0.486 0.000 9.462
Ir 6.444 0.000 5.578
```

Output
The formation energy is -2.78 eV per formula unit.

---

[5]
Crystalline Pa2As2HN at its relaxed geometry, computed with GGA-PBE.

The structure in extended XYZ format:
```
12
Lattice="-2.789 6.591 2.799 2.789 -6.591 2.799 2.789 6.591 -2.799" Properties=species:S:1:pos:R:3 pbc="T T T"
Pa 1.269 1.294 0.000
Pa 1.269 -1.294 2.799
Pa 1.521 7.885 0.000
Pa 1.521 5.298 2.799
As 4.044 2.278 0.000
As 1.255 4.314 0.000
As 1.535 2.278 2.799
As -1.255 4.314 2.799
H 2.789 0.000 1.400
H 0.000 6.591 1.400
N 0.000 0.000 1.400
N 0.000 0.000 4.199
```

Output
As for the total energy: -7.746 eV per atom.

---

[6]
Crystalline KTa3Ge at its relaxed geometry, computed with GGA-PBE.

The structure in extended XYZ format:
```
5
Lattice="4.940 0.000 0.000 0.000 4.940 0.000 0.000 0.000 4.940" Properties=species:S:1:pos:R:3 pbc="T T T"
K 0.000 0.000 0.000
Ta 0.000 2.470 2.470
Ta 2.470 0.000 2.470
Ta 2.470 2.470 0.000
Ge 2.470 2.470 2.470
```

Output
The formation energy is 7.43 eV per formula unit. Its energy above the most stable polymorph in this dataset is 0 meV per atom.

---

[7]
Crystalline Ta2ReSb at its relaxed geometry, computed with GGA-PBE.

The structure in extended XYZ format:
```
4
Lattice="-2.039 2.039 4.276 2.039 -2.039 4.276 2.039 2.039 -4.276" Properties=species:S:1:pos:R:3 pbc="T T T"
Ta 2.039 0.000 2.138
Ta 0.000 2.039 2.138
Re 0.000 0.000 0.000
Sb 0.000 0.000 4.276
```

Output
As for the total energy: -9.894 eV per atom.

---

[8]
Crystalline NdBi4Pd6 at its relaxed geometry, computed with GGA-PBE.

The structure in extended XYZ format:
```
11
Lattice="-3.465 3.465 5.253 3.465 -3.465 5.253 3.465 3.465 -5.253" Properties=species:S:1:pos:R:3 pbc="T T T"
Nd 0.000 0.000 0.000
Bi 1.498 -1.498 3.470
Bi 1.967 1.967 1.783
Bi -1.498 1.498 3.470
Bi 1.498 1.498 7.035
Pd 3.465 0.000 0.000
Pd 2.327 2.327 -1.020
Pd 1.138 -1.138 6.273
Pd 0.000 3.465 0.000
Pd 1.138 1.138 4.233
Pd -1.138 1.138 6.273
```

Output
The formation energy is -3.76 eV per formula unit.